Here is crystalline ZrZnNi4 at its relaxed geometry from Alexandria via LeMat-Bulk. Energies are from PBE.

Summary:
Energy relative to the elements: -0.41 eV/atom
Magnetic moment: 0.00 μB per formula unit
ρ: 8.31 g/cm3

a = 4.8006 Å, b = 4.8006 Å, c = 4.8006 Å
α = 60.00°, β = 60.00°, γ = 60.00°
Last column: nearest neighbours and their distance in Å.
Fractional coordinates of all 6 atoms:
Ni: 0.1274 0.6242 0.6242  6 Ni 2.38-2.42
Ni: 0.6242 0.6242 0.6242  6 Ni 2.38-2.42
Ni: 0.6242 0.1274 0.6242  6 Ni 2.38-2.42
Ni: 0.6242 0.6242 0.1274  6 Ni 2.38-2.42
Zn: 0.2500 0.2500 0.2500  12 Ni 2.81, 4 Zr 2.94
Zr: 0.0000 0.0000 0.0000  12 Ni 2.82, 4 Zn 2.94

***

Here is crystalline ZrZn9Ni2 at its relaxed geometry from Alexandria via LeMat-Bulk. Energies are from PBE.

Summary:
Energy relative to the elements: -0.17 eV/atom
Magnetic moment: 0.00 μB per formula unit
ρ: 7.60 g/cm3

a = 6.6013 Å, b = 7.9816 Å, c = 7.9816 Å
α = 80.15°, β = 65.57°, γ = 65.57°
Last column: nearest neighbours and their distance in Å.
Fractional coordinates of all 24 atoms:
Zr: 0.5000 0.0000 0.0000  18 Zn 3.13-3.34
Zr: 0.2500 0.5000 0.5000  18 Zn 3.13-3.34
Zn: 0.7500 0.5000 0.5000  4 Ni 2.70, 8 Zn 2.73
Zn: 0.0000 0.0000 0.0000  4 Ni 2.70, 8 Zn 2.73
Zn: 0.0037 0.9200 0.6791  6 Zn 2.48-2.73, 2 Ni 2.50-2.51
Zn: 0.6028 0.0800 0.3209  6 Zn 2.48-2.73, 2 Ni 2.50-2.51
Zn: 0.6737 0.1791 0.5800  6 Zn 2.48-2.73, 2 Ni 2.50-2.51
Zn: 0.4328 0.8209 0.4200  6 Zn 2.48-2.73, 2 Ni 2.50-2.51
Zn: 0.7463 0.8209 0.5800  6 Zn 2.48-2.73, 2 Ni 2.50-2.51
Zn: 0.1472 0.1791 0.4200  6 Zn 2.48-2.73, 2 Ni 2.50-2.51
Zn: 0.0763 0.9200 0.3209  6 Zn 2.48-2.73, 2 Ni 2.50-2.51
Zn: 0.3172 0.0800 0.6791  6 Zn 2.48-2.73, 2 Ni 2.50-2.51
Zn: 0.7463 0.5800 0.8209  6 Zn 2.48-2.73, 2 Ni 2.50-2.51
Zn: 0.1472 0.4200 0.1791  6 Zn 2.48-2.73, 2 Ni 2.50-2.51
Zn: 0.0763 0.3209 0.9200  6 Zn 2.48-2.73, 2 Ni 2.50-2.51
Zn: 0.3172 0.6791 0.0800  6 Zn 2.48-2.73, 2 Ni 2.50-2.51
Zn: 0.0037 0.6791 0.9200  6 Zn 2.48-2.73, 2 Ni 2.50-2.51
Zn: 0.6028 0.3209 0.0800  6 Zn 2.48-2.73, 2 Ni 2.50-2.51
Zn: 0.6737 0.5800 0.1791  6 Zn 2.48-2.73, 2 Ni 2.50-2.51
Zn: 0.4328 0.4200 0.8209  6 Zn 2.48-2.73, 2 Ni 2.50-2.51
Ni: 0.8750 0.2500 0.7500  10 Zn 2.50-2.70
Ni: 0.8750 0.7500 0.2500  10 Zn 2.50-2.70
Ni: 0.8750 0.2500 0.2500  10 Zn 2.50-2.70
Ni: 0.3750 0.7500 0.7500  10 Zn 2.50-2.70

***

Here is crystalline ZrZnNi2 at its relaxed geometry from Alexandria via LeMat-Bulk. Energies are from PBE.

Summary:
Energy relative to the elements: -0.26 eV/atom
Magnetic moment: 0.00 μB per formula unit
ρ: 7.58 g/cm3

a = 3.9056 Å, b = 3.3042 Å, c = 4.9388 Å
α = 70.39°, β = 90.00°, γ = 90.00°
Last column: nearest neighbours and their distance in Å.
Fractional coordinates of all 4 atoms:
Ni: 0.0000 0.1980 0.9799  2 Ni 2.40, 3 Zn 2.61-2.63, 4 Zr 2.66
Ni: 0.5000 0.0476 0.2783  2 Ni 2.40, 1 Zr 2.53, 4 Zn 2.64
Zn: 0.0000 0.4773 0.4198  7 Ni 2.61-2.64
Zr: 0.5000 0.7771 0.8221  7 Ni 2.53-2.69

***

Here is crystalline ZrZn2Ni2 at its relaxed geometry from Alexandria via LeMat-Bulk. Energies are from PBE.

Summary:
Energy above the most stable polymorph in this dataset: 50.0 meV/atom
Energy relative to the elements: -0.21 eV/atom
Magnetic moment: 0.00 μB per formula unit
ρ: 7.87 g/cm3

a = 7.1273 Å, b = 7.1273 Å, c = 2.8196 Å
α = 90.00°, β = 90.00°, γ = 90.00°
Last column: nearest neighbours and their distance in Å.
Fractional coordinates of all 10 atoms:
Ni: 0.3685 0.8685 0.0000  6 Zn 2.51-2.53, 1 Ni 2.65, 2 Zr 2.79
Ni: 0.8685 0.6315 0.0000  6 Zn 2.51-2.53, 1 Ni 2.65, 2 Zr 2.79
Ni: 0.6315 0.1315 0.0000  6 Zn 2.51-2.53, 1 Ni 2.65, 2 Zr 2.79
Ni: 0.1315 0.3685 0.0000  6 Zn 2.51-2.53, 1 Ni 2.65, 2 Zr 2.79
Zn: 0.1622 0.6622 0.5000  6 Ni 2.51-2.53
Zn: 0.6622 0.8378 0.5000  6 Ni 2.51-2.53
Zn: 0.8378 0.3378 0.5000  6 Ni 2.51-2.53
Zn: 0.3378 0.1622 0.5000  6 Ni 2.51-2.53
Zr: 0.0000 0.0000 0.0000  4 Ni 2.79, 2 Zr 2.82, 8 Zn 3.02
Zr: 0.5000 0.5000 0.0000  4 Ni 2.79, 2 Zr 2.82, 8 Zn 3.02

***

Here is crystalline Zr2ZnNi at its relaxed geometry from Alexandria via LeMat-Bulk. Energies are from PBE.

Summary:
Energy relative to the elements: -0.28 eV/atom
Magnetic moment: 0.00 μB per formula unit
ρ: 7.11 g/cm3

a = 4.1606 Å, b = 3.3150 Å, c = 5.4579 Å
α = 71.95°, β = 90.00°, γ = 90.00°
Last column: nearest neighbours and their distance in Å.
Fractional coordinates of all 4 atoms:
Ni: 0.0000 0.6985 0.4768  2 Zn 2.58, 7 Zr 2.77-2.86
Zn: 0.5000 0.5514 0.7715  2 Ni 2.58, 7 Zr 2.77-2.88
Zr: 0.0000 0.9746 0.9248  4 Zn 2.77-2.78, 3 Ni 2.85-2.86
Zr: 0.5000 0.2756 0.3269  4 Ni 2.77, 3 Zn 2.84-2.88

***

Here is crystalline Zr2Zn2Ni at its relaxed geometry from Alexandria via LeMat-Bulk. Energies are from PBE.

Summary:
Energy above the most stable polymorph in this dataset: 629.2 meV/atom
Energy relative to the elements: 0.44 eV/atom
Magnetic moment: 0.00 μB per formula unit
ρ: 6.35 g/cm3

a = 6.7816 Å, b = 6.7816 Å, c = 6.7816 Å
α = 145.97°, β = 145.97°, γ = 48.89°
Last column: nearest neighbours and their distance in Å.
Fractional coordinates of all 5 atoms:
Zr: 0.2500 0.7500 0.5000  4 Zn 2.79, 4 Zr 2.81
Zr: 0.7500 0.2500 0.5000  4 Zn 2.79, 4 Zr 2.81
Zn: 0.5910 0.5910 0.0000  1 Zn 2.25
Zn: 0.4090 0.4090 0.0000  1 Zn 2.25
Ni: 0.0000 0.0000 0.0000  8 Zn 3.02

***

Here is crystalline Zr2ZnNi2 at its relaxed geometry from Alexandria via LeMat-Bulk. Energies are from PBE.

Summary:
Energy relative to the elements: -0.11 eV/atom
Magnetic moment: 0.00 μB per formula unit
ρ: 7.00 g/cm3

a = 3.3132 Å, b = 3.3132 Å, c = 8.2347 Å
α = 78.39°, β = 78.39°, γ = 90.00°
Last column: nearest neighbours and their distance in Å.
Fractional coordinates of all 5 atoms:
Ni: 0.7500 0.2500 0.5000  4 Ni 2.34
Ni: 0.2500 0.7500 0.5000  4 Ni 2.34
Zn: 0.0000 0.0000 0.0000  8 Zr 2.98, 4 Zn 3.31
Zr: 0.3830 0.3830 0.2340  4 Ni 2.67, 4 Zn 2.98
Zr: 0.6170 0.6170 0.7660  4 Ni 2.67, 4 Zn 2.98

***

Here is crystalline ZrZn2Ni at its relaxed geometry from Alexandria via LeMat-Bulk. Energies are from PBE.

Summary:
Energy relative to the elements: -0.15 eV/atom
Magnetic moment: 0.00 μB per formula unit
ρ: 7.36 g/cm3

a = 4.8545 Å, b = 4.8545 Å, c = 4.4780 Å
α = 71.09°, β = 71.09°, γ = 39.76°
Last column: nearest neighbours and their distance in Å.
Fractional coordinates of all 4 atoms:
Ni: 0.7500 0.7500 0.7500  4 Zn 2.57, 4 Zr 2.78
Zn: 0.0213 0.0213 0.9587  2 Ni 2.57, 2 Zn 2.62, 1 Zr 2.82
Zn: 0.4787 0.4787 0.5413  2 Ni 2.57, 2 Zn 2.62, 1 Zr 2.82
Zr: 0.2500 0.2500 0.2500  4 Ni 2.78, 6 Zn 2.82-2.89

***

Here is crystalline Zr2Zn2Ni at its relaxed geometry from Alexandria via LeMat-Bulk. Energies are from PBE.

Summary:
Energy above the most stable polymorph in this dataset: 0.0 meV/atom
Energy relative to the elements: -0.19 eV/atom
Magnetic moment: 0.00 μB per formula unit
ρ: 7.09 g/cm3

a = 6.5499 Å, b = 6.5499 Å, c = 4.0611 Å
α = 90.00°, β = 90.00°, γ = 90.00°
Last column: nearest neighbours and their distance in Å.
Fractional coordinates of all 10 atoms:
Ni: 0.0000 0.0000 0.0000  4 Zn 2.55
Ni: 0.5000 0.5000 0.0000  4 Zn 2.55
Zn: 0.3657 0.8657 0.0000  1 Zn 2.49, 2 Ni 2.55, 2 Zr 2.71
Zn: 0.8657 0.6343 0.0000  1 Zn 2.49, 2 Ni 2.55, 2 Zr 2.71
Zn: 0.6343 0.1343 0.0000  1 Zn 2.49, 2 Ni 2.55, 2 Zr 2.71
Zn: 0.1343 0.3657 0.0000  1 Zn 2.49, 2 Ni 2.55, 2 Zr 2.71
Zr: 0.1715 0.6715 0.5000  6 Zn 2.71-2.86
Zr: 0.6715 0.8285 0.5000  6 Zn 2.71-2.86
Zr: 0.8285 0.3285 0.5000  6 Zn 2.71-2.86
Zr: 0.3285 0.1715 0.5000  6 Zn 2.71-2.86

***

Here is crystalline Zr4ZnNi at its relaxed geometry from Alexandria via LeMat-Bulk. Energies are from PBE.

Summary:
Energy above the most stable polymorph in this dataset: 0.0 meV/atom
Energy relative to the elements: -0.22 eV/atom
Magnetic moment: 0.00 μB per formula unit
ρ: 6.98 g/cm3

a = 5.4149 Å, b = 5.4149 Å, c = 5.4149 Å
α = 102.77°, β = 102.77°, γ = 123.91°
Last column: nearest neighbours and their distance in Å.
Fractional coordinates of all 6 atoms:
Zr: 0.5920 0.0920 0.1840  2 Zn 2.85, 2 Ni 2.85, 3 Zr 3.02-3.09
Zr: 0.9080 0.4080 0.8160  2 Ni 2.85, 2 Zn 2.85, 3 Zr 3.02-3.09
Zr: 0.0920 0.9080 0.5000  2 Ni 2.85, 2 Zn 2.85, 3 Zr 3.02-3.09
Zr: 0.4080 0.5920 0.5000  2 Zn 2.85, 2 Ni 2.85, 3 Zr 3.02-3.09
Zn: 0.0000 0.0000 0.0000  2 Ni 2.55, 8 Zr 2.85
Ni: 0.5000 0.5000 0.0000  2 Zn 2.55, 8 Zr 2.85